# Tb4PmNdDy2

A relaxed Tb4PmNdDy2 crystal (PBE-GGA, the Alexandria database).

Cell and atoms, written as CIF:
```
data_Tb4PmNdDy2
_chemical_formula_sum 'Tb8 Pm2 Nd2 Dy4'
_space_group_name_H-M_alt 'P 1'
_space_group_IT_number 1
_cell_length_a 9.5306
_cell_length_b 9.5306
_cell_length_c 9.5306
_cell_angle_alpha 137.96
_cell_angle_beta 103.21
_cell_angle_gamma 91.65
loop_
_space_group_symop_operation_xyz
'x,y,z'
loop_
_atom_site_label
_atom_site_fract_x
_atom_site_fract_y
_atom_site_fract_z
Tb1 0.2505 0.2480 0.0024
Tb2 0.2530 0.2512 0.4983
Tb3 0.2530 0.7547 0.0017
Tb4 0.2544 0.7520 0.5024
Tb5 0.7456 0.2480 0.4976
Tb6 0.7470 0.2453 0.9983
Tb7 0.7470 0.7488 0.5017
Tb8 0.7495 0.7520 0.9976
Pm1 0.0000 0.0000 0.5000
Pm2 0.0000 0.5000 0.0000
Nd1 0.0000 0.5000 0.5000
Nd2 0.5000 0.5000 0.0000
Dy1 0.0000 0.0000 0.0000
Dy2 0.5000 0.0000 0.0000
Dy3 0.5000 0.0000 0.5000
Dy4 0.5000 0.5000 0.5000
```

- V (A^3/atom) = 33.6
- size of the total moment (μB per cell) = 6.0
- energy (eV/atom) = -4.24